The following is a PBE-GGA calculation of crystalline TaP5 at its relaxed geometry, from Alexandria.

Cell: 4.2408 7.4956 7.4956 Å, 26.30 90.00 90.00°
Fractional positions:
Ta: 0.0000 0.0000 0.0000
P: 0.0000 0.3648 0.3648
P: 0.0000 0.6322 0.6322
P: 0.5000 0.0931 0.0931
P: 0.5000 0.4362 0.4362
P: 0.5000 0.7025 0.7025

energy of formation from the pure elements: 78 meV per atom
symmetry: No. 38
total energy: -6.405 eV/atom
energy above the most stable polymorph in this dataset: 0.521 eV/f.u.


The following is a PBE-GGA calculation of crystalline Ta4P3 at its relaxed geometry, from Alexandria.

Cell: 4.9718 4.9718 5.0533 Å, 90.00 90.00 120.00°
Fractional positions:
Ta: 0.0000 0.0000 0.2505
Ta: 0.0000 0.0000 0.7495
Ta: 0.3333 0.6667 0.0000
Ta: 0.6667 0.3333 0.0000
P: 0.0000 0.5000 0.5000
P: 0.5000 0.0000 0.5000
P: 0.5000 0.5000 0.5000

energy of formation from the pure elements: 131 meV per atom
symmetry: No. 191
total energy: -8.961 eV/atom


The following is a PBE-GGA calculation of crystalline TaP5 at its relaxed geometry, from Alexandria.

Cell: 3.2826 3.2826 8.2106 Å, 90.00 90.00 90.00°
Fractional positions:
Ta: 0.0000 0.0000 0.0000
P: 0.0000 0.0000 0.3372
P: 0.0000 0.0000 0.6628
P: 0.5000 0.5000 0.1549
P: 0.5000 0.5000 0.5000
P: 0.5000 0.5000 0.8451

energy of formation from the pure elements: 204 meV per atom
symmetry: No. 123
total energy: -6.280 eV/atom
energy above the most stable polymorph in this dataset: 1.274 eV/f.u.


The following is a PBE-GGA calculation of crystalline TaP4 at its relaxed geometry, from Alexandria.

Cell: 4.7910 4.7910 4.7910 Å, 90.00 90.00 90.00°
Fractional positions:
Ta: 0.0000 0.0000 0.0000
P: 0.0000 0.0000 0.5000
P: 0.0000 0.5000 0.0000
P: 0.5000 0.0000 0.0000
P: 0.5000 0.5000 0.5000

energy of formation from the pure elements: 859 meV per atom
symmetry: No. 221
total energy: -5.840 eV/atom


The following is a PBE-GGA calculation of crystalline TaP2 at its relaxed geometry, from Alexandria.

Cell: 4.0857 4.0857 6.6849 Å, 90.00 90.00 120.00°
Fractional positions:
Ta: 0.0000 0.0000 0.2500
Ta: 0.0000 0.0000 0.7500
P: 0.3333 0.6667 0.0810
P: 0.3333 0.6667 0.4190
P: 0.6667 0.3333 0.5810
P: 0.6667 0.3333 0.9190

energy of formation from the pure elements: 184 meV per atom
symmetry: No. 194
total energy: -7.374 eV/atom


The following is a PBE-GGA calculation of crystalline Ta3P at its relaxed geometry, from Alexandria.

Cell: 4.5460 4.5460 4.5460 Å, 60.00 60.00 60.00°
Fractional positions:
Ta: 0.0000 0.0000 0.0000
Ta: 0.2500 0.2500 0.2500
Ta: 0.7500 0.7500 0.7500
P: 0.5000 0.5000 0.5000

energy of formation from the pure elements: 133 meV per atom
symmetry: No. 225
total energy: -10.109 eV/atom